[1]
Rb2Tc2N after structural relaxation, computed with GGA-PBE.

Computed properties:
DOS(E_F)   1.502 states/eV per atom
E_form (uncorrected)   330.61 kJ per mole of atoms

Cell lengths 5.2479, 5.2479, 7.2727 Å; angles 90.00, 90.00, 90.00 degrees
Last column: nearest neighbours and their distance in Å.
Element x y z (fractional)
Tc  0.0000  0.5000  0.0000  2 Rb 2.62
Tc  0.5000  0.0000  0.0000  2 Rb 2.62
Rb  0.0000  0.0000  0.0000  4 Tc 2.62
Rb  0.0000  0.0000  0.5000  2 Rb 3.64, 4 N 3.71
N  0.5000  0.5000  0.5000  4 Rb 3.71



[2]
RbTc2N2 after structural relaxation, computed with GGA-PBE.

Computed properties:
Distance to the lowest polymorph of the same formula   0 meV per atom
DOS(E_F)   0.945 states/eV per atom
E_form (uncorrected)   17.93 kJ per mole of atoms

Cell lengths 3.7388, 3.7388, 6.8023 Å; angles 74.05, 74.05, 90.00 degrees
Last column: nearest neighbours and their distance in Å.
Element x y z (fractional)
Tc  0.7500  0.2500  0.5000  4 N 2.08
Tc  0.2500  0.7500  0.5000  4 N 2.08
Rb  0.0000  0.0000  0.0000  8 N 3.45, 8 Tc 3.65, 4 Rb 3.74
N  0.3236  0.3236  0.3529  4 Tc 2.08
N  0.6764  0.6764  0.6471  4 Tc 2.08



[3]
Rb2TcN2 after structural relaxation, computed with GGA-PBE.

Computed properties:
Distance to the lowest polymorph of the same formula   762 meV per atom
DOS(E_F)   0.459 states/eV per atom
E_form (uncorrected)   69.30 kJ per mole of atoms

Cell lengths 5.8182, 5.8182, 5.4177 Å; angles 90.00, 90.00, 90.00 degrees
Last column: nearest neighbours and their distance in Å.
Element x y z (fractional)
Tc  0.0000  0.0000  0.0000  4 N 2.06
Tc  0.5000  0.5000  0.0000  4 N 2.06
Rb  0.1765  0.6765  0.5000  2 N 2.81, 5 Rb 2.91-3.03
Rb  0.6765  0.8235  0.5000  2 N 2.81, 5 Rb 2.91-3.03
Rb  0.8235  0.3235  0.5000  2 N 2.81, 5 Rb 2.91-3.03
Rb  0.3235  0.1765  0.5000  2 N 2.81, 5 Rb 2.91-3.03
N  0.2654  0.7654  0.0000  2 Tc 2.06
N  0.7654  0.7346  0.0000  2 Tc 2.06
N  0.7346  0.2346  0.0000  2 Tc 2.06
N  0.2346  0.2654  0.0000  2 Tc 2.06